[1]
Computed, not measured: CaCdSe after structural relaxation at the GGA-PBE level of DFT.

Cell: 4.1878 4.1878 5.7564 Å, 90.00 90.00 120.00°
Atoms (fractional coordinates):
Ca (0.0000, 0.0000, 0.9498)
Se (0.3333, 0.6667, 0.6807)
Cd (0.6667, 0.3333, 0.3695)

space-group type = P3m1, No. 156
calculated density = 4396 kg/m3
formation energy without anion corrections = -962 meV/atom
calculated total energy = -3.10 eV/atom
E above lowest polymorph = 0 meV/atom


[2]
Computed, not measured: Al2Tl after structural relaxation at the GGA-PBE level of DFT.

Cell: 5.8227 5.8227 8.9818 Å, 90.00 90.00 120.00°
Atoms (fractional coordinates):
Tl (0.3333, 0.6667, 0.0652)
Tl (0.6667, 0.3333, 0.5652)
Tl (0.6667, 0.3333, 0.9348)
Tl (0.3333, 0.6667, 0.4348)
Al (0.0000, 0.0000, 0.0000)
Al (0.0000, 0.0000, 0.5000)
Al (0.8296, 0.6591, 0.2500)
Al (0.1704, 0.3409, 0.7500)
Al (0.3409, 0.1704, 0.2500)
Al (0.8296, 0.1704, 0.2500)
Al (0.1704, 0.8296, 0.7500)
Al (0.6591, 0.8296, 0.7500)

E_form = 193 meV/atom
space-group type = P6_3/mmc, No. 194
calculated density = 6507 kg/m3
calculated total energy = -3.09 eV/atom
E above lowest polymorph = 17 meV/atom


[3]
Computed, not measured: PuCdHgTe after structural relaxation at the GGA-PBE level of DFT.

Cell: 5.3354 5.3354 5.3354 Å, 60.00 60.00 60.00°
Atoms (fractional coordinates):
Cd (0.0000, 0.0000, 0.0000)
Te (0.7500, 0.7500, 0.7500)
Hg (0.2500, 0.2500, 0.2500)
Pu (0.5000, 0.5000, 0.5000)

space-group type = F-43m, No. 216
calculated density = 10585 kg/m3
formation energy without anion corrections = -304 meV/atom
calculated total energy = -4.98 eV/atom


[4]
Computed, not measured: Na3Tl3AgCl8 after structural relaxation at the GGA-PBE level of DFT.

Cell: 8.3339 8.2525 8.8278 Å, 117.92 90.00 120.33°
Atoms (fractional coordinates):
Na (0.5000, 0.0000, 0.5000)
Na (0.5000, 0.5000, 0.5000)
Na (0.0000, 0.5000, 0.5000)
Tl (0.0000, 0.0000, 0.0000)
Tl (0.0000, 0.5000, 0.0000)
Tl (0.5000, 0.5000, 0.0000)
Ag (0.0000, 0.0000, 0.5000)
Cl (0.2631, 0.5263, 0.2896)
Cl (0.7369, 0.4737, 0.7104)
Cl (0.7897, 0.5793, 0.3118)
Cl (0.2103, 0.4207, 0.6882)
Cl (0.7721, 0.0253, 0.2963)
Cl (0.2279, 0.9747, 0.7037)
Cl (0.2532, 0.0253, 0.2963)
Cl (0.7468, 0.9747, 0.7037)

space-group type = C2/m, No. 12
calculated density = 4049 kg/m3
formation energy without anion corrections = -1168 meV/atom
calculated total energy = -3.08 eV/atom


[5]
Computed, not measured: TaNiOs after structural relaxation at the GGA-PBE level of DFT.

Cell: 5.3687 4.0560 8.2280 Å, 90.00 103.13 90.00°
Atoms (fractional coordinates):
Ta (0.2237, 0.0000, 0.0501)
Ta (0.2237, 0.5000, 0.5501)
Ta (0.6173, 0.0000, 0.7549)
Ta (0.6173, 0.5000, 0.2549)
Ni (0.9274, 0.0000, 0.4070)
Ni (0.9274, 0.5000, 0.9070)
Ni (0.0935, 0.0000, 0.7263)
Ni (0.0935, 0.5000, 0.2263)
Os (0.7450, 0.0000, 0.0836)
Os (0.7450, 0.5000, 0.5836)
Os (0.4099, 0.0000, 0.3950)
Os (0.4099, 0.5000, 0.8950)

E_form = -224 meV/atom
space-group type = Cm, No. 8
calculated density = 16364 kg/m3
calculated total energy = -9.85 eV/atom
E above lowest polymorph = 119 meV/atom


[6]
Computed, not measured: CePaC2 after structural relaxation at the GGA-PBE level of DFT.

Cell: 3.5812 3.5813 6.0866 Å, 90.04 89.99 120.00°
Atoms (fractional coordinates):
Ce (0.0000, 0.5000, 0.5000)
Pa (0.0000, 0.5000, 0.0000)
C (0.6667, 0.8333, 0.7753)
C (0.3333, 0.1667, 0.2247)

E_form = -71 meV/atom
space-group type = P-3m1, No. 164
calculated density = 9706 kg/m3
calculated total energy = -8.54 eV/atom
E above lowest polymorph = 223 meV/atom